A plane-wave DFT calculation with PBE was carried out for LiScCo2Re after structural relaxation.

Cell and atoms, written as CIF:
```
data_LiScCo2Re
_chemical_formula_sum 'Li1 Sc1 Co2 Re1'
_space_group_name_H-M_alt 'P 4/m m m'
_space_group_IT_number 123
_space_group_name_Hall '-P 4 2'
_cell_length_a 4.257
_cell_length_b 4.257
_cell_length_c 4.100
_cell_angle_alpha 90.00
_cell_angle_beta 90.00
_cell_angle_gamma 90.00
loop_
_atom_site_label
_atom_site_type_symbol
_atom_site_fract_x
_atom_site_fract_y
_atom_site_fract_z
Li1 Li 0.000 0.000 0.000
Sc1 Sc 0.000 0.000 0.500
Co1 Co 0.000 0.500 0.500
Re1 Re 0.500 0.500 0.000
```

Values from the calculation:
total magnetic moment: 3.25 μB per cell
total DFT energy (no corrections): -5.532 eV per atom
excess energy over the best structure of this formula in the dataset: 569 meV/atom
Fermi-level density of states: 4.7 states/eV per cell
energy of formation: 7.24 eV/f.u.

***

A plane-wave DFT calculation with PBE was carried out for Li5In2Ag after structural relaxation.

Cell and atoms, written as CIF:
```
data_Li5In2Ag
_chemical_formula_sum 'Li10 In4 Ag2'
_space_group_name_H-M_alt 'I 4/m m m'
_space_group_IT_number 139
_space_group_name_Hall '-I 4 2'
_cell_length_a 4.773
_cell_length_b 4.773
_cell_length_c 12.594
_cell_angle_alpha 90.00
_cell_angle_beta 90.00
_cell_angle_gamma 90.00
loop_
_atom_site_label
_atom_site_type_symbol
_atom_site_fract_x
_atom_site_fract_y
_atom_site_fract_z
Li1 Li 0.000 0.000 0.000
Li2 Li 0.000 0.500 0.120
In1 In 0.000 0.000 0.253
Ag1 Ag 0.000 0.000 0.500
```

Values from the calculation:
total magnetic moment: 0.00 μB per cell
total DFT energy (no corrections): -2.467 eV per atom
Fermi-level density of states: 6.0 states/eV per cell
energy of formation: -1.84 eV/f.u.

***

A plane-wave DFT calculation with PBE was carried out for SmTm2Pu after structural relaxation.

Cell and atoms, written as CIF:
```
data_SmTm2Pu
_chemical_formula_sum 'Sm1 Tm2 Pu1'
_space_group_name_H-M_alt 'P 4/m m m'
_space_group_IT_number 123
_space_group_name_Hall '-P 4 2'
_cell_length_a 4.950
_cell_length_b 4.950
_cell_length_c 4.939
_cell_angle_alpha 90.00
_cell_angle_beta 90.00
_cell_angle_gamma 90.00
loop_
_atom_site_label
_atom_site_type_symbol
_atom_site_fract_x
_atom_site_fract_y
_atom_site_fract_z
Sm1 Sm 0.000 0.000 0.000
Tm1 Tm 0.000 0.500 0.500
Pu1 Pu 0.500 0.500 0.000
```

Values from the calculation:
total magnetic moment: 6.25 μB per cell
total DFT energy (no corrections): -6.861 eV per atom
excess energy over the best structure of this formula in the dataset: 45 meV/atom
Fermi-level density of states: 15.7 states/eV per cell
energy of formation: 0.55 eV/f.u.